This record from Alexandria describes a relaxed BaPa2CrO8 crystal. The functional is GGA+U.

The value obtained for the mass density is 7.590 g cm⁻³. The volume comes out at 171 Å³/f.u. As for the total energy: -8.46 eV per atom.

The structure belongs to space group P-1 (No. 2); the cell edges are 4.556, 5.232 and 7.266 Å and the angles 97.03°, 96.80° and 91.76°. The distinct sites, in fractional coordinates, are Ba at (0.000, 0.000, 0.000), Pa at (0.423, 0.475, 0.741), Cr at (0.000, 0.000, 0.500), O at (0.053, 0.690, 0.279), O at (0.201, 0.828, 0.680), O at (0.338, 0.253, 0.481) and O at (0.490, 0.270, 0.994).